# 1
Density functional theory data (GGA-PBE) for crystalline SiIr5 at its relaxed geometry.

Lattice parameters (Å, degrees): 4.4689 2.7395 13.9828 90.00 90.00 90.00
Closest atoms and distances in Å follow each position.
Fractional coordinates of all 12 atoms:
Si (0.0000, 0.0000, 0.0000)  10 Ir 2.58-2.75, 2 Si 2.74
Si (0.0000, 0.5000, 0.5000)  10 Ir 2.58-2.75, 2 Si 2.74
Ir (0.0000, 0.0000, 0.3423)  2 Si 2.60, 8 Ir 2.69-2.75
Ir (0.0000, 0.0000, 0.6565)  2 Si 2.58, 8 Ir 2.69-2.84
Ir (0.0000, 0.5000, 0.1565)  2 Si 2.58, 8 Ir 2.69-2.84
Ir (0.0000, 0.5000, 0.8423)  2 Si 2.60, 8 Ir 2.69-2.75
Ir (0.5000, 0.0000, 0.1147)  10 Ir 2.69-2.74, 2 Si 2.75
Ir (0.5000, 0.0000, 0.4488)  8 Ir 2.69-2.74, 4 Si 2.72
Ir (0.5000, 0.0000, 0.7822)  12 Ir 2.70-2.84
Ir (0.5000, 0.5000, 0.2822)  12 Ir 2.70-2.84
Ir (0.5000, 0.5000, 0.6147)  10 Ir 2.69-2.74, 2 Si 2.75
Ir (0.5000, 0.5000, 0.9488)  8 Ir 2.69-2.74, 4 Si 2.72

Space group: No. 38
Total DFT energy (no corrections) in eV per cell: -99.9
ΔE_f (raw) in eV/f.u.: -0.23
Polymorph energy (0 for the lowest one) in meV/atom: 107.3



# 2
Density functional theory data (GGA-PBE) for crystalline SiIr2 at its relaxed geometry.

Lattice parameters (Å, degrees): 2.8190 2.8190 6.0881 90.00 90.00 120.00
Closest atoms and distances in Å follow each position.
Fractional coordinates of all 3 atoms:
Si (0.0000, 0.0000, 0.0000)  6 Ir 2.45
Ir (0.3333, 0.6667, 0.3002)  3 Si 2.45
Ir (0.6667, 0.3333, 0.6998)  3 Si 2.45

Space group: No. 164
Total DFT energy (no corrections) in eV per cell: -24.3
ΔE_f (raw) in eV/f.u.: -1.15



# 3
Density functional theory data (GGA-PBE) for crystalline Si6Ir7 at its relaxed geometry.

Lattice parameters (Å, degrees): 8.9362 8.9362 8.9362 34.88 34.88 34.88
Closest atoms and distances in Å follow each position.
Fractional coordinates of all 13 atoms:
Si (0.0891, 0.0891, 0.0891)  1 Si 2.37
Si (0.1832, 0.1832, 0.1832)  1 Si 2.37, 3 Ir 2.45
Si (0.3324, 0.3324, 0.3324)  6 Ir 2.44-2.45
Si (0.6676, 0.6676, 0.6676)  6 Ir 2.44-2.45
Si (0.8168, 0.8168, 0.8168)  1 Si 2.37, 3 Ir 2.45
Si (0.9109, 0.9109, 0.9109)  1 Si 2.37
Ir (0.0795, 0.5733, 0.5733)  5 Si 2.44-2.70, 4 Ir 2.64-2.71
Ir (0.4267, 0.4267, 0.9205)  5 Si 2.44-2.70, 4 Ir 2.64-2.71
Ir (0.4267, 0.9205, 0.4267)  5 Si 2.44-2.70, 4 Ir 2.64-2.71
Ir (0.5000, 0.5000, 0.5000)  6 Ir 2.76
Ir (0.5733, 0.0795, 0.5733)  5 Si 2.44-2.70, 4 Ir 2.64-2.71
Ir (0.5733, 0.5733, 0.0795)  5 Si 2.44-2.70, 4 Ir 2.64-2.71
Ir (0.9205, 0.4267, 0.4267)  5 Si 2.44-2.70, 4 Ir 2.64-2.71

Space group: No. 166
Total DFT energy (no corrections) in eV per cell: -96.3
ΔE_f (raw) in eV/f.u.: -1.72



# 4
Density functional theory data (GGA-PBE) for crystalline Si2Ir at its relaxed geometry.

Lattice parameters (Å, degrees): 8.0207 3.8194 6.0253 90.00 98.01 90.00
Closest atoms and distances in Å follow each position.
Fractional coordinates of all 12 atoms:
Si (0.0000, 0.0000, 0.0000)  4 Ir 2.42-2.53, 2 Si 2.48
Si (0.0362, 0.5000, 0.2645)  3 Si 2.39-2.48, 4 Ir 2.39-2.56
Si (0.1987, 0.5000, 0.6934)  3 Si 2.39-2.63, 3 Ir 2.48-2.59
Si (0.4002, 0.0000, 0.5928)  4 Si 2.39-2.63, 3 Ir 2.39-2.49
Si (0.5000, 0.5000, 0.0000)  4 Ir 2.42-2.53, 2 Si 2.48
Si (0.5362, 0.0000, 0.2645)  3 Si 2.39-2.48, 4 Ir 2.39-2.56
Si (0.6987, 0.0000, 0.6934)  3 Si 2.39-2.63, 3 Ir 2.48-2.59
Si (0.9002, 0.5000, 0.5928)  4 Si 2.39-2.63, 3 Ir 2.39-2.49
Ir (0.2925, 0.0000, 0.9437)  7 Si 2.39-2.55
Ir (0.3368, 0.5000, 0.3302)  7 Si 2.39-2.59
Ir (0.7925, 0.5000, 0.9437)  7 Si 2.39-2.55
Ir (0.8368, 0.0000, 0.3302)  7 Si 2.39-2.59

Space group: No. 8
Total DFT energy (no corrections) in eV per cell: -83.2
ΔE_f (raw) in eV/f.u.: -1.09